Record 1
The following is a PBE calculation of KPb2F8 after structural relaxation, from Alexandria via LeMat-Bulk.

```
KPb2F8
1.0
-4.2722 0.6878 1.3976
-1.3692 -5.9349 -2.0077
0.9943 -4.4658 4.4941
F Pb K
8 2 1
direct
0.5421 0.6728 0.0468
0.9771 0.2594 0.2594
0.4579 0.3272 0.9532
0.4579 0.9532 0.3272
0.7587 0.5175 0.5175
0.2413 0.4825 0.4825
0.0229 0.7406 0.7406
0.5421 0.0468 0.6728
0.4869 0.6803 0.6803
0.5131 0.3197 0.3197
0.0000 0.0000 0.0000
```

- Total energy: -4.263 eV/atom
- M_tot: 0.000 μB/f.u.
- Theoretical density: 5.85 g/cm³



Record 2
The following is a PBE calculation of K3PbF7 after structural relaxation, from Alexandria via LeMat-Bulk.

```
K3PbF7
1.0
5.5214 0.0601 2.7964
-1.2109 5.3874 2.7964
-0.1009 -0.1275 6.7966
K F Pb
3 7 1
direct
0.2318 0.7661 0.4899
0.7661 0.2318 0.4899
0.4978 0.4978 0.9356
0.1232 0.6521 0.1906
0.6521 0.1232 0.1906
0.3037 0.9897 0.7354
0.8103 0.8103 0.8766
0.1274 0.1274 0.1613
0.9897 0.3037 0.7354
0.6682 0.6682 0.4060
0.9547 0.9547 0.0387
```

- Total energy: -4.314 eV/atom
- M_tot: 0.000 μB/f.u.
- Theoretical density: 3.68 g/cm³



Record 3
The following is a PBE calculation of K3Pb4F12 after structural relaxation, from Alexandria via LeMat-Bulk.

```
K3Pb4F12
1.0
7.6199 0.0000 -2.6941
-3.8100 6.5991 -2.6941
0.0000 0.0000 8.0822
F Pb K
12 4 3
direct
0.7847 0.3042 0.0890
0.9110 0.2153 0.6958
0.5195 0.2153 0.3042
0.7847 0.6958 0.4805
0.2153 0.6958 0.9110
0.3042 0.0890 0.7847
0.0890 0.7847 0.3042
0.3042 0.5195 0.2153
0.6958 0.4805 0.7847
0.4805 0.7847 0.6958
0.6958 0.9110 0.2153
0.2153 0.3042 0.5195
0.5000 0.5000 0.5000
0.5000 0.0000 0.0000
0.0000 0.5000 0.0000
0.0000 0.0000 0.5000
0.0000 0.5000 0.5000
0.5000 0.5000 0.0000
0.5000 0.0000 0.5000
```

- Total energy: -4.592 eV/atom
- M_tot: 0.000 μB/f.u.
- Theoretical density: 4.80 g/cm³



Record 4
The following is a PBE calculation of K5PbF8 after structural relaxation, from Alexandria via LeMat-Bulk.

```
K5PbF8
1.0
-3.9201 -5.0048 2.4062
4.8666 -2.6348 -3.9470
2.8506 3.3405 5.1885
Pb K F
1 5 8
direct
0.2500 0.7500 0.5000
0.5000 0.5000 0.0000
0.7447 0.6120 0.6279
0.8832 0.2553 0.8674
0.3880 0.0159 0.1326
0.9841 0.1168 0.3721
0.2610 0.4019 0.2788
0.1231 0.9822 0.7212
0.5837 0.8546 0.4007
0.4539 0.1830 0.5993
0.5981 0.8769 0.8591
0.1454 0.5461 0.7291
0.0178 0.7390 0.1409
0.8170 0.4163 0.2709
```

- Total energy: -4.274 eV/atom
- M_tot: 0.763 μB/f.u.
- Theoretical density: 3.81 g/cm³



Record 5
The following is a PBE calculation of K2Pb3F8 after structural relaxation, from Alexandria via LeMat-Bulk.

```
K2Pb3F8
1.0
-1.9535 0.5341 -6.0972
6.4382 -3.5894 -2.3771
-5.2595 -3.6817 3.9315
Pb F K
3 8 2
direct
0.5000 0.0000 0.0000
0.0000 0.7381 0.0000
0.0000 0.2619 0.0000
0.0908 0.4025 0.8049
0.4002 0.3308 0.2307
0.5998 0.6692 0.7693
0.4002 0.8999 0.2307
0.5998 0.1001 0.7693
0.9219 0.1039 0.2077
0.9092 0.5975 0.1951
0.0781 0.8961 0.7923
0.3550 0.2841 0.5682
0.6450 0.7159 0.4318
```

- Total energy: -4.639 eV/atom
- M_tot: 0.000 μB/f.u.
- Theoretical density: 4.76 g/cm³
- E above lowest polymorph: 0.0 kJ per mole of atoms



Record 6
The following is a PBE calculation of K5Pb3F12 after structural relaxation, from Alexandria via LeMat-Bulk.

```
K5Pb3F12
1.0
12.7448 0.0000 0.0000
-4.2483 12.0159 0.0000
-4.2483 -6.0080 10.4061
K F Pb
20 48 12
direct
0.2500 0.3750 0.6250
0.2500 0.8750 0.1250
0.5000 0.5000 0.5000
0.7500 0.1250 0.8750
0.8750 0.2500 0.6250
0.0000 0.5000 0.0000
0.0000 0.5000 0.5000
0.5000 0.0000 0.5000
0.0000 0.0000 0.0000
0.3750 0.1250 0.7500
0.0000 0.0000 0.5000
0.6250 0.7500 0.8750
0.1250 0.7500 0.3750
0.6250 0.8750 0.2500
0.8750 0.6250 0.7500
0.7500 0.6250 0.3750
0.3750 0.2500 0.1250
0.1250 0.3750 0.2500
0.5000 0.5000 0.0000
0.5000 0.0000 0.0000
0.5680 0.3280 0.9336
0.0664 0.1720 0.4320
0.8280 0.8944 0.2600
0.4336 0.0680 0.3280
0.1720 0.0664 0.9320
0.4320 0.6720 0.0664
0.1720 0.1056 0.7400
0.5664 0.6344 0.3944
0.3656 0.9320 0.7600
0.6344 0.0680 0.2400
0.8944 0.0664 0.6344
0.2600 0.8656 0.9320
0.5664 0.9320 0.6720
0.7400 0.1344 0.0680
0.1344 0.3944 0.0664
0.9320 0.5664 0.1720
0.8656 0.6056 0.9336
0.7600 0.4320 0.3656
0.4336 0.3656 0.6056
0.8656 0.2600 0.4320
0.6344 0.5664 0.8944
0.6056 0.7400 0.6720
0.1344 0.7400 0.5680
0.3656 0.4336 0.1056
0.8280 0.9336 0.0680
0.9320 0.3656 0.2600
0.3280 0.7600 0.3944
0.5680 0.2400 0.1344
0.9336 0.1056 0.8656
0.7600 0.3280 0.8944
0.2600 0.3944 0.8280
0.4320 0.7600 0.8656
0.9336 0.8280 0.5680
0.1056 0.1720 0.2400
0.6720 0.4320 0.5664
0.3944 0.2600 0.3280
0.8944 0.8280 0.7600
0.0664 0.8944 0.1344
0.3944 0.1344 0.5664
0.3280 0.5680 0.4336
0.0680 0.6344 0.7400
0.6056 0.8656 0.4336
0.2400 0.5680 0.6344
0.2400 0.6720 0.1056
0.7400 0.6056 0.1720
0.0680 0.4336 0.8280
0.6720 0.2400 0.6056
0.1056 0.9336 0.3656
0.8750 0.7500 0.1250
0.7500 0.8750 0.6250
0.3750 0.6250 0.2500
0.2500 0.6250 0.8750
0.1250 0.2500 0.8750
0.7500 0.3750 0.1250
0.2500 0.1250 0.3750
0.3750 0.7500 0.6250
0.8750 0.1250 0.2500
0.1250 0.8750 0.7500
0.6250 0.2500 0.3750
0.6250 0.3750 0.7500
```

- Total energy: -4.334 eV/atom
- M_tot: 0.000 μB/f.u.
- Theoretical density: 4.36 g/cm³



Record 7
The following is a PBE calculation of KPb2F5 after structural relaxation, from Alexandria via LeMat-Bulk.

```
KPb2F5
1.0
-2.9863 -2.8523 2.3142
6.3736 -1.9405 0.9915
0.7183 7.6511 10.3571
F K Pb
10 2 4
direct
0.3008 0.6015 0.0608
0.6992 0.3985 0.5608
0.0487 0.0974 0.3986
0.9513 0.9026 0.6014
0.6992 0.3985 0.9392
0.2072 0.4145 0.7500
0.0487 0.0974 0.1014
0.3008 0.6015 0.4392
0.7928 0.5855 0.2500
0.9513 0.9026 0.8986
0.8130 0.6261 0.7500
0.1870 0.3739 0.2500
0.1377 0.2755 0.5671
0.8623 0.7245 0.4329
0.1377 0.2755 0.9329
0.8623 0.7245 0.0671
```

- Total energy: -4.696 eV/atom
- M_tot: 0.000 μB/f.u.
- Theoretical density: 4.73 g/cm³
- E above lowest polymorph: 0.6 kJ per mole of atoms



Record 8
The following is a PBE calculation of K6PbF8 after structural relaxation, from Alexandria via LeMat-Bulk.

```
K6PbF8
1.0
-6.4293 -1.1410 2.8762
-3.5975 -5.2100 -3.2900
-0.2657 -6.0067 3.8418
K Pb F
6 1 8
direct
0.5002 0.3106 0.9362
0.4998 0.6894 0.0638
0.3106 0.9362 0.5002
0.0638 0.4998 0.6894
0.9362 0.5002 0.3106
0.6894 0.0638 0.4998
0.0000 0.0000 0.0000
0.3336 0.3336 0.3336
0.8963 0.1715 0.6673
0.1715 0.6673 0.8963
0.8285 0.3327 0.1037
0.3327 0.1037 0.8285
0.1037 0.8285 0.3327
0.6673 0.8963 0.1715
0.6664 0.6664 0.6664
```

- Total energy: -4.297 eV/atom
- M_tot: 0.000 μB/f.u.
- Theoretical density: 3.32 g/cm³



Record 9
The following is a PBE calculation of KPbF4 after structural relaxation, from Alexandria via LeMat-Bulk.

```
KPbF4
1.0
-0.9143 1.6912 3.5421
-3.7612 -1.4169 -0.2945
1.7327 -5.2158 2.9384
Pb F K
1 4 1
direct
0.0013 0.9972 0.4981
0.0015 0.4976 0.7064
0.5012 0.9969 0.2899
0.5014 0.9977 0.7063
0.0011 0.4971 0.2900
0.5013 0.4973 0.9981
```

- Total energy: -4.390 eV/atom
- M_tot: 0.000 μB/f.u.
- Theoretical density: 5.29 g/cm³



Record 10
The following is a PBE calculation of KPb2F4 after structural relaxation, from Alexandria via LeMat-Bulk.

```
KPb2F4
1.0
-3.1562 0.9961 0.3963
0.9370 -4.7055 5.2706
3.7544 8.9739 7.3443
F Pb K
8 4 2
direct
0.1986 0.3972 0.6108
0.0444 0.0889 0.2500
0.9556 0.9111 0.7500
0.1986 0.3972 0.8892
0.5000 0.0000 0.0000
0.8014 0.6028 0.1108
0.5000 0.0000 0.5000
0.8014 0.6028 0.3892
0.8642 0.7284 0.9251
0.1358 0.2716 0.4251
0.8642 0.7284 0.5749
0.1358 0.2716 0.0749
0.3955 0.7910 0.2500
0.6045 0.2090 0.7500
```

- Total energy: -4.442 eV/atom
- M_tot: 0.000 μB/f.u.
- Theoretical density: 6.25 g/cm³



Record 11
The following is a PBE calculation of KPbF5 after structural relaxation, from Alexandria via LeMat-Bulk.

```
KPbF5
1.0
-5.8161 1.0570 -2.3617
2.9839 -4.1752 -3.7664
-0.2020 -5.0438 7.1717
F K Pb
10 2 2
direct
0.3109 0.0609 0.2500
0.8134 0.2651 0.5236
0.1866 0.7349 0.4764
0.8780 0.2018 0.1155
0.4136 0.2374 0.6155
0.7585 0.7102 0.0236
0.6891 0.9391 0.7500
0.5864 0.7626 0.3845
0.2415 0.2898 0.9764
0.1220 0.7982 0.8845
0.7182 0.4682 0.2500
0.2818 0.5318 0.7500
0.0000 0.0000 0.0000
0.5000 0.0000 0.5000
```

- Total energy: -4.287 eV/atom
- M_tot: 0.042 μB/f.u.
- Theoretical density: 3.77 g/cm³



Record 12
The following is a PBE calculation of K3PbF8 after structural relaxation, from Alexandria via LeMat-Bulk.

```
K3PbF8
1.0
-0.4537 -3.1049 5.1290
5.9673 0.2654 0.6886
-3.3326 6.5075 0.1201
K F Pb
3 8 1
direct
0.7500 0.2500 0.5000
0.2500 0.7500 0.5000
0.5000 0.5000 0.0000
0.6782 0.1051 0.7833
0.1051 0.1051 0.7833
0.8949 0.3218 0.2167
0.3218 0.3218 0.2167
0.1051 0.6782 0.7833
0.3218 0.8949 0.2167
0.6782 0.6782 0.7833
0.8949 0.8949 0.2167
0.0000 0.0000 0.0000
```

- Total energy: -4.072 eV/atom
- M_tot: 1.127 μB/f.u.
- Theoretical density: 3.68 g/cm³
- E above lowest polymorph: 0.0 kJ per mole of atoms